Compound: MnCrSn2N
Source: Alexandria
Functional: PBE
Structure: optimized geometry

Values from the calculation:
The total energy comes out at -6.205 eV/atom. The raw formation energy is 0.8194 eV/atom. Its density of states at the Fermi level is 1.89 states/eV per atom. The calculation puts the volume at 18.36 A^3/atom.

a b c (Å): 5.198 5.198 3.399
angles (deg): 90.00 90.00 90.00
Space group P4/mmm (No. 123)
One atom of each set of equivalent atoms:
1 Mn 0.000 0.000 0.000 [1 per cell]
2 Cr 0.500 0.500 0.500 [1 per cell]
3 Sn 0.000 0.500 0.000 [2 per cell]
4 N 0.000 0.000 0.500 [1 per cell]

Compound: Tb2MnCrN5
Source: Alexandria
Functional: PBE
Structure: optimized geometry

Values from the calculation:
The total energy comes out at -8.617 eV/atom. The raw formation energy is -0.8748 eV/atom. Its density of states at the Fermi level is 0.18 states/eV per atom. The calculation puts the volume at 11.72 A^3/atom.

a b c (Å): 3.218 13.551 9.673
angles (deg): 90.00 90.00 90.00
Space group Cmc2_1 (No. 36)
One atom of each set of equivalent atoms:
1 Tb 0.000 0.122 0.000 [4 per cell]
2 Tb 0.000 0.135 0.640 [4 per cell]
3 Mn 0.000 0.207 0.351 [4 per cell]
4 Cr 0.000 0.439 0.772 [4 per cell]
5 N 0.000 0.050 0.362 [4 per cell]
6 N 0.000 0.293 0.983 [4 per cell]
7 N 0.000 0.313 0.711 [4 per cell]
8 N 0.000 0.348 0.331 [4 per cell]
9 N 0.000 0.498 0.616 [4 per cell]

Compound: TbMn2CrN4
Source: Alexandria
Functional: PBE
Structure: optimized geometry

Values from the calculation:
The total energy comes out at -8.752 eV/atom. The raw formation energy is -0.5152 eV/atom. Its density of states at the Fermi level is 0.42 states/eV per atom. The calculation puts the volume at 10.78 A^3/atom.

a b c (Å): 3.155 10.890 10.040
angles (deg): 90.00 90.00 90.00
Space group Cmcm (No. 63)
One atom of each set of equivalent atoms:
1 Tb 0.000 0.088 0.250 [4 per cell]
2 Mn 0.000 0.376 0.044 [8 per cell]
3 Cr 0.000 0.176 0.750 [4 per cell]
4 N 0.000 0.000 0.000 [4 per cell]
5 N 0.000 0.277 0.614 [8 per cell]
6 N 0.000 0.427 0.250 [4 per cell]

Compound: MnCr2TcN
Source: Alexandria
Functional: PBE
Structure: optimized geometry

Values from the calculation:
The total energy comes out at -9.598 eV/atom. The raw formation energy is -0.1760 eV/atom. Its density of states at the Fermi level is 0.77 states/eV per atom. The calculation puts the volume at 11.08 A^3/atom.

a b c (Å): 3.831 3.831 3.775
angles (deg): 90.00 90.00 90.00
Space group P4/mmm (No. 123)
One atom of each set of equivalent atoms:
1 Mn 0.000 0.000 0.000 [1 per cell]
2 Cr 0.000 0.500 0.500 [2 per cell]
3 Tc 0.500 0.500 0.000 [1 per cell]
4 N 0.000 0.000 0.500 [1 per cell]

Compound: Th2MnCrN5
Source: Alexandria
Functional: PBE
Structure: optimized geometry

Values from the calculation:
The total energy comes out at -9.382 eV/atom. The raw formation energy is -1.0197 eV/atom. Its density of states at the Fermi level is 0.13 states/eV per atom. The calculation puts the volume at 12.30 A^3/atom.

a b c (Å): 3.412 13.648 9.506
angles (deg): 90.00 90.00 90.00
Space group Cmc2_1 (No. 36)
One atom of each set of equivalent atoms:
1 Th 0.000 0.127 0.000 [4 per cell]
2 Th 0.000 0.130 0.381 [4 per cell]
3 Mn 0.000 0.202 0.702 [4 per cell]
4 Cr 0.000 0.428 0.163 [4 per cell]
5 N 0.000 0.051 0.739 [4 per cell]
6 N 0.000 0.303 0.341 [4 per cell]
7 N 0.000 0.305 0.068 [4 per cell]
8 N 0.000 0.346 0.699 [4 per cell]
9 N 0.000 0.489 0.992 [4 per cell]

Compound: Mn2VCrN
Source: Alexandria
Functional: PBE
Structure: optimized geometry

Values from the calculation:
The total energy comes out at -9.320 eV/atom. The raw formation energy is -0.2389 eV/atom. Its density of states at the Fermi level is 0.93 states/eV per atom. The calculation puts the volume at 10.72 A^3/atom.

a b c (Å): 3.742 3.742 3.826
angles (deg): 90.00 90.00 90.00
Space group P4/mmm (No. 123)
One atom of each set of equivalent atoms:
1 Mn 0.000 0.500 0.000 [2 per cell]
2 V 0.000 0.000 0.500 [1 per cell]
3 Cr 0.500 0.500 0.500 [1 per cell]
4 N 0.500 0.500 0.000 [1 per cell]

Compound: Mn2CrWN
Source: Alexandria
Functional: PBE
Structure: optimized geometry

Values from the calculation:
The total energy comes out at -9.982 eV/atom. The raw formation energy is -0.1336 eV/atom. Its density of states at the Fermi level is 0.77 states/eV per atom. The calculation puts the volume at 10.96 A^3/atom.

a b c (Å): 3.775 3.775 3.846
angles (deg): 90.00 90.00 90.00
Space group P4/mmm (No. 123)
One atom of each set of equivalent atoms:
1 Mn 0.000 0.500 0.000 [2 per cell]
2 Cr 0.000 0.000 0.500 [1 per cell]
3 W 0.500 0.500 0.500 [1 per cell]
4 N 0.000 0.000 0.000 [1 per cell]

Compound: NaMn2Cr
Source: Alexandria
Functional: PBE
Structure: optimized geometry

Values from the calculation:
The total energy comes out at -6.634 eV/atom. The energy above the most stable polymorph in this dataset is 0.0 meV per atom. Its density of states at the Fermi level is 0.63 states/eV per atom. The formation enthalpy at 0 K comes out at 686 meV per atom. The calculation puts the volume at 16.01 A^3/atom.

a b c (Å): 6.350 6.350 6.350
angles (deg): 90.00 90.00 90.00
Space group Fm-3m (No. 225)
One atom of each set of equivalent atoms:
1 Na 0.000 0.000 0.000 [4 per cell]
2 Mn 0.250 0.250 0.250 [8 per cell]
3 Cr 0.000 0.000 0.500 [4 per cell]